(1)
A relaxed BaIn2Pt crystal, computed with PBE-GGA.

a b c (Å): 6.2843 6.2843 3.2220
angles (deg): 90.00 90.00 121.59
Fractional coordinates of all 4 atoms:
Ba: 0.0000 0.5000 0.5000
In: 0.0000 0.0000 0.0000
In: 0.5000 0.5000 0.0000
Pt: 0.5000 0.0000 0.5000

Calculated values
Energy of formation in meV/atom: -9.8
Magnetic moment in μB per atom: 0.000
Density in g/cm³: 8.610
SG: Cmmm, No. 65

---

(2)
A relaxed Bi3SbI2 crystal, computed with PBE-GGA.

a b c (Å): 6.3965 7.6322 10.3029
angles (deg): 109.90 108.08 90.00
Fractional coordinates of all 12 atoms:
Bi: 0.5316 0.2500 0.0000
Bi: 0.4684 0.7500 0.0000
Bi: 0.0949 0.1209 0.2641
Bi: 0.8308 0.3791 0.7359
Bi: 0.1692 0.6209 0.2641
Bi: 0.9051 0.8791 0.7359
Sb: 0.9573 0.7500 0.0000
Sb: 0.0427 0.2500 0.0000
I: 0.7266 0.5479 0.3253
I: 0.5987 0.0479 0.3253
I: 0.4013 0.9521 0.6747
I: 0.2734 0.4521 0.6747

Calculated values
Raw formation energy in meV/atom: 70
Magnetic moment in μB per atom: 0.000
Density in g/cm³: 7.458
SG: C2/c, No. 15

---

(3)
A relaxed RbGaCl2 crystal, computed with PBE-GGA.

a b c (Å): 3.8303 5.4309 5.4309
angles (deg): 90.00 90.00 90.00
Fractional coordinates of all 4 atoms:
Ga: 0.5000 0.0000 0.0000
Rb: 0.5000 0.5000 0.5000
Cl: 0.0000 0.0000 0.5000
Cl: 0.0000 0.5000 0.0000

Calculated values
Raw formation energy in meV/atom: -1223
Magnetic moment in μB per atom: 0.000
Offset from the most stable computed form in meV per atom: 74
Density in g/cm³: 3.323
SG: P4/mmm, No. 123

---

Taking the records one at a time from the top gives VASP energy values of -13.5, -36.9, -12.6 eV per cell.